# 1
## Pu3CuSi2 (GGA-PBE)

Data for crystalline Pu3CuSi2 at its relaxed geometry.

Cell lengths 8.012, 7.257, 8.854 Å; angles 90.00, 114.08, 90.00 degrees
Element x y z (fractional)
Pu 0.132 0.164 0.400
Pu 0.132 0.336 0.900
Pu 0.204 0.507 0.687
Pu 0.204 0.993 0.187
Pu 0.261 0.019 0.797
Pu 0.261 0.481 0.297
Pu 0.739 0.519 0.703
Pu 0.739 0.981 0.203
Pu 0.796 0.007 0.813
Pu 0.796 0.493 0.313
Pu 0.868 0.664 0.100
Pu 0.868 0.836 0.600
Cu 0.431 0.651 0.058
Cu 0.431 0.849 0.558
Cu 0.569 0.151 0.442
Cu 0.569 0.349 0.942
Si 0.101 0.718 0.930
Si 0.101 0.782 0.430
Si 0.467 0.241 0.656
Si 0.467 0.259 0.156
Si 0.533 0.741 0.844
Si 0.533 0.759 0.344
Si 0.899 0.218 0.570
Si 0.899 0.282 0.070

Calculated values
As for the calculated total energy: -9.909 eV per atom. Its density of states at the Fermi level is 68.28 states/eV per cell.

# 2
## PuCu6Si2 (GGA-PBE)

Data for crystalline PuCu6Si2 at its relaxed geometry.

Cell lengths 3.982, 3.982, 8.061 Å; angles 90.00, 90.00, 90.00 degrees
Element x y z (fractional)
Pu 0.000 0.000 0.000
Cu 0.000 0.000 0.500
Cu 0.000 0.500 0.307
Cu 0.000 0.500 0.693
Cu 0.500 0.000 0.307
Cu 0.500 0.000 0.693
Cu 0.500 0.500 0.500
Si 0.500 0.500 0.147
Si 0.500 0.500 0.853

Calculated values
As for the calculated total energy: -5.727 eV per atom. Its density of states at the Fermi level is 12.34 states/eV per cell.

# 3
## Pu2CuSi3 (GGA-PBE)

Data for crystalline Pu2CuSi3 at its relaxed geometry.

Cell lengths 4.029, 4.031, 6.988 Å; angles 90.00, 90.00, 90.00 degrees
Element x y z (fractional)
Pu 0.000 0.000 0.000
Pu 0.000 0.500 0.487
Cu 0.500 0.500 0.823
Si 0.500 0.000 0.329
Si 0.500 0.000 0.666
Si 0.500 0.500 0.154

Calculated values
The value obtained for the energy above the most stable polymorph in this dataset is 21 meV per atom. As for the calculated total energy: -8.601 eV per atom. Its density of states at the Fermi level is 22.44 states/eV per cell.

# 4
## PuCu4Si (GGA-PBE)

Data for crystalline PuCu4Si at its relaxed geometry.

Cell lengths 5.033, 5.033, 5.033 Å; angles 60.00, 60.00, 60.00 degrees
Element x y z (fractional)
Pu 0.000 0.000 0.000
Cu 0.127 0.624 0.624
Cu 0.624 0.127 0.624
Cu 0.624 0.624 0.127
Cu 0.624 0.624 0.624
Si 0.250 0.250 0.250

Calculated values
As for the calculated total energy: -6.036 eV per atom. Its density of states at the Fermi level is 8.32 states/eV per cell.

# 5
## Pu2CuSi3 (GGA-PBE)

Data for crystalline Pu2CuSi3 at its relaxed geometry.

Cell lengths 8.071, 8.064, 5.718 Å; angles 69.30, 69.18, 41.51 degrees
Element x y z (fractional)
Pu 0.245 0.755 0.245
Pu 0.250 0.250 0.250
Pu 0.750 0.750 0.750
Pu 0.755 0.245 0.755
Cu 0.334 0.334 0.666
Cu 0.666 0.666 0.334
Si 0.168 0.168 0.832
Si 0.169 0.663 0.831
Si 0.337 0.831 0.663
Si 0.663 0.169 0.337
Si 0.831 0.337 0.169
Si 0.832 0.832 0.168

Calculated values
The value obtained for the energy above the most stable polymorph in this dataset is 0 meV per atom. As for the calculated total energy: -8.622 eV per atom. Its density of states at the Fermi level is 39.89 states/eV per cell.

# 6
## PuCu2Si2 (GGA-PBE)

Data for crystalline PuCu2Si2 at its relaxed geometry.

Cell lengths 4.002, 4.002, 9.978 Å; angles 90.00, 90.00, 90.00 degrees
Element x y z (fractional)
Pu 0.000 0.000 0.000
Pu 0.500 0.500 0.500
Cu 0.000 0.500 0.250
Cu 0.000 0.500 0.750
Cu 0.500 0.000 0.250
Cu 0.500 0.000 0.750
Si 0.000 0.000 0.382
Si 0.000 0.000 0.618
Si 0.500 0.500 0.118
Si 0.500 0.500 0.882

Calculated values
As for the calculated total energy: -7.090 eV per atom. Its density of states at the Fermi level is 20.58 states/eV per cell.

# 7
## SmPu2Cu2Si2 (GGA-PBE)

Data for crystalline SmPu2Cu2Si2 at its relaxed geometry.

Cell lengths 9.303, 9.303, 9.303 Å; angles 24.64, 24.64, 24.64 degrees
Element x y z (fractional)
Sm 0.000 0.000 0.000
Pu 0.150 0.150 0.150
Pu 0.850 0.850 0.850
Cu 0.410 0.410 0.410
Cu 0.590 0.590 0.590
Si 0.256 0.256 0.256
Si 0.744 0.744 0.744

Calculated values
As for the calculated total energy: -7.828 eV per atom. Its density of states at the Fermi level is 9.77 states/eV per cell.

# 8
## SmPuCu2Si2 (GGA-PBE)

Data for crystalline SmPuCu2Si2 at its relaxed geometry.

Cell lengths 4.157, 4.157, 7.764 Å; angles 90.00, 90.00, 120.00 degrees
Element x y z (fractional)
Sm 0.000 0.000 0.000
Pu 0.000 0.000 0.500
Cu 0.333 0.667 0.253
Cu 0.667 0.333 0.747
Si 0.333 0.667 0.743
Si 0.667 0.333 0.257

Calculated values
As for the calculated total energy: -6.825 eV per atom. Its density of states at the Fermi level is 12.26 states/eV per cell.

# 9
## TbPuCu2Si2 (GGA-PBE)

Data for crystalline TbPuCu2Si2 at its relaxed geometry.

Cell lengths 4.140, 4.140, 7.650 Å; angles 90.00, 90.00, 120.00 degrees
Element x y z (fractional)
Tb 0.000 0.000 0.000
Pu 0.000 0.000 0.500
Cu 0.333 0.667 0.245
Cu 0.667 0.333 0.755
Si 0.333 0.667 0.748
Si 0.667 0.333 0.252

Calculated values
As for the calculated total energy: -6.826 eV per atom. Its density of states at the Fermi level is 12.14 states/eV per cell.

# 10
## TbPu2Cu2Si2 (GGA-PBE)

Data for crystalline TbPu2Cu2Si2 at its relaxed geometry.

Cell lengths 9.179, 9.179, 9.179 Å; angles 24.92, 24.92, 24.92 degrees
Element x y z (fractional)
Tb 0.000 0.000 0.000
Pu 0.150 0.150 0.150
Pu 0.850 0.850 0.850
Cu 0.408 0.408 0.408
Cu 0.592 0.592 0.592
Si 0.257 0.257 0.257
Si 0.743 0.743 0.743

Calculated values
As for the calculated total energy: -7.826 eV per atom. Its density of states at the Fermi level is 9.62 states/eV per cell.

# 11
## Pu2ThCu2Si2 (GGA-PBE)

Data for crystalline Pu2ThCu2Si2 at its relaxed geometry.

Cell lengths 9.412, 9.412, 9.412 Å; angles 24.36, 24.36, 24.36 degrees
Element x y z (fractional)
Pu 0.150 0.150 0.150
Pu 0.850 0.850 0.850
Th 0.000 0.000 0.000
Cu 0.410 0.410 0.410
Cu 0.590 0.590 0.590
Si 0.255 0.255 0.255
Si 0.745 0.745 0.745

Calculated values
As for the calculated total energy: -8.214 eV per atom. Its density of states at the Fermi level is 8.99 states/eV per cell.

# 12
## TmPu2Cu2Si2 (GGA-PBE)

Data for crystalline TmPu2Cu2Si2 at its relaxed geometry.

Cell lengths 9.053, 9.053, 9.053 Å; angles 25.21, 25.21, 25.21 degrees
Element x y z (fractional)
Tm 0.000 0.000 0.000
Pu 0.149 0.149 0.149
Pu 0.851 0.851 0.851
Cu 0.406 0.406 0.406
Cu 0.594 0.594 0.594
Si 0.259 0.259 0.259
Si 0.741 0.741 0.741

Calculated values
As for the calculated total energy: -7.800 eV per atom. Its density of states at the Fermi level is 9.40 states/eV per cell.